(1)
{"formula": "BO2F2", "functional": "PBE", "state": "relaxed", "lattice_angstrom": [[-2.697, -1.540, 1.532], [1.562, -3.072, -0.339], [2.232, 0.632, 4.565]], "species": ["B", "O", "O", "F", "F"], "fractional_positions": [[0.500, 0.500, 0.500], [0.000, 0.500, 0.000], [0.500, 0.000, 0.000], [0.000, 0.000, 0.000], [0.000, 0.000, 0.500]], "e_above_lowest_polymorph_mev_per_atom": 1832, "formation_energy_uncorrected_ev_per_atom": 1.610, "dos_at_fermi_per_ev_cell": 3.54}


(2)
{"formula": "FeTeRh", "functional": "PBE", "state": "relaxed", "lattice_angstrom": [[-4.530, -0.156, -0.402], [2.283, -2.105, 0.842], [-1.041, 3.084, 10.530]], "species": ["Fe", "Fe", "Rh", "Rh", "Te", "Te"], "fractional_positions": [[0.279, 0.558, 0.000], [0.271, 0.541, 0.500], [0.779, 0.558, 0.872], [0.779, 0.558, 0.128], [0.280, 0.559, 0.274], [0.280, 0.559, 0.726]], "e_above_lowest_polymorph_mev_per_atom": 316, "formation_energy_uncorrected_ev_per_atom": 0.316, "dos_at_fermi_per_ev_cell": 6.22}


(3)
{"formula": "Ac2ErAl3Hg12", "functional": "PBE", "state": "relaxed", "lattice_angstrom": [[9.356, 0.386, 0.274], [4.956, 7.945, 0.274], [4.956, 2.885, 7.407]], "species": ["Ac", "Ac", "Er", "Al", "Al", "Al", "Hg", "Hg", "Hg", "Hg", "Hg", "Hg", "Hg", "Hg", "Hg", "Hg", "Hg", "Hg"], "fractional_positions": [[0.593, 0.593, 0.593], [0.407, 0.407, 0.407], [0.000, 0.000, 0.000], [0.500, 0.000, 0.000], [0.000, 0.500, 0.000], [0.000, 0.000, 0.500], [0.239, 0.239, 0.853], [0.831, 0.831, 0.454], [0.454, 0.831, 0.831], [0.853, 0.239, 0.239], [0.831, 0.454, 0.831], [0.239, 0.853, 0.239], [0.761, 0.761, 0.147], [0.169, 0.169, 0.546], [0.546, 0.169, 0.169], [0.147, 0.761, 0.761], [0.169, 0.546, 0.169], [0.761, 0.147, 0.761]], "formation_enthalpy_0k_ev_per_atom": -0.007, "dos_at_fermi_per_ev_cell": 7.30}


(4)
{"formula": "RbSr2AlRh", "functional": "PBE", "state": "relaxed", "lattice_angstrom": [[-4.152, 1.890, 3.876], [-4.224, -0.703, -4.183], [-0.722, -4.702, 1.519]], "species": ["Sr", "Sr", "Rh", "Al", "Rb"], "fractional_positions": [[0.000, 0.500, 0.000], [0.500, 0.000, 0.000], [0.000, 0.000, 0.000], [0.000, 0.000, 0.500], [0.500, 0.500, 0.500]], "formation_enthalpy_0k_ev_per_atom": -0.120, "e_above_lowest_polymorph_mev_per_atom": 0, "dos_at_fermi_per_ev_cell": 3.48}


(5)
{"formula": "PuCd2RuO6", "functional": "PBE", "state": "relaxed", "lattice_angstrom": [[5.600, 0.000, -0.022], [0.000, 5.686, 0.000], [0.017, 0.000, 8.092]], "species": ["Pu", "Pu", "Cd", "Cd", "Cd", "Cd", "Ru", "Ru", "O", "O", "O", "O", "O", "O", "O", "O", "O", "O", "O", "O"], "fractional_positions": [[0.500, 0.000, 0.500], [0.000, 0.500, 0.000], [0.007, 0.958, 0.249], [0.507, 0.542, 0.749], [0.993, 0.042, 0.751], [0.493, 0.458, 0.251], [0.500, 0.000, 0.000], [0.000, 0.500, 0.500], [0.320, 0.704, 0.060], [0.820, 0.796, 0.560], [0.680, 0.296, 0.940], [0.180, 0.204, 0.440], [0.299, 0.683, 0.445], [0.799, 0.817, 0.945], [0.701, 0.317, 0.555], [0.201, 0.183, 0.055], [0.892, 0.552, 0.262], [0.392, 0.948, 0.762], [0.108, 0.448, 0.738], [0.608, 0.052, 0.238]], "formation_energy_uncorrected_ev_per_atom": -1.567, "dos_at_fermi_per_ev_cell": 12.92}


(6)
{"formula": "LiB2C2", "functional": "PBE", "state": "relaxed", "lattice_angstrom": [[-5.616, -3.110, -4.525], [-1.545, -3.404, -6.911], [1.368, -4.319, 2.867]], "species": ["C", "C", "C", "C", "C", "C", "C", "C", "B", "B", "B", "B", "B", "B", "B", "B", "Li", "Li", "Li", "Li"], "fractional_positions": [[0.703, 0.034, 0.685], [0.293, 0.964, 0.314], [0.711, 0.034, 0.186], [0.293, 0.964, 0.814], [0.206, 0.533, 0.435], [0.793, 0.464, 0.064], [0.205, 0.537, 0.935], [0.799, 0.469, 0.567], [0.464, 0.789, 0.563], [0.536, 0.210, 0.435], [0.463, 0.789, 0.063], [0.533, 0.210, 0.938], [0.966, 0.293, 0.315], [0.040, 0.707, 0.188], [0.966, 0.293, 0.815], [0.036, 0.706, 0.684], [0.251, 0.249, 0.627], [0.748, 0.752, 0.367], [0.995, 0.004, 0.996], [0.749, 0.751, 0.883]], "formation_enthalpy_0k_ev_per_atom": -0.030, "e_above_lowest_polymorph_mev_per_atom": 40, "dos_at_fermi_per_ev_cell": 2.05}


(7)
{"formula": "Li3NpTi2Se6", "functional": "PBE", "state": "relaxed", "lattice_angstrom": [[6.631, -0.010, -0.006], [-3.322, 5.739, -0.006], [-1.109, -1.921, 6.470]], "species": ["Li", "Li", "Li", "Np", "Ti", "Ti", "Se", "Se", "Se", "Se", "Se", "Se"], "fractional_positions": [[0.161, 0.839, 0.500], [0.839, 0.161, 0.500], [0.500, 0.500, 0.500], [0.000, 0.000, 0.000], [0.330, 0.670, 0.000], [0.670, 0.330, 0.000], [0.918, 0.564, 0.756], [0.726, 0.726, 0.242], [0.082, 0.436, 0.244], [0.564, 0.918, 0.756], [0.274, 0.274, 0.758], [0.436, 0.082, 0.244]], "formation_energy_uncorrected_ev_per_atom": -1.193, "dos_at_fermi_per_ev_cell": 14.04}


(8)
{"formula": "SrLaPd3", "functional": "PBE", "state": "relaxed", "lattice_angstrom": [[5.324, 0.000, 0.000], [0.000, 5.324, 0.000], [0.000, 0.000, 5.324]], "species": ["Sr", "Pd", "Pd", "Pd", "La"], "fractional_positions": [[0.500, 0.500, 0.500], [0.000, 0.500, 0.000], [0.000, 0.000, 0.500], [0.500, 0.000, 0.000], [0.000, 0.000, 0.000]], "formation_enthalpy_0k_ev_per_atom": -0.073, "e_above_lowest_polymorph_mev_per_atom": 588, "dos_at_fermi_per_ev_cell": 4.87}


(9)
{"formula": "BeHgRu", "functional": "PBE", "state": "relaxed", "lattice_angstrom": [[-0.405, -1.638, 3.627], [-1.204, -3.798, 0.356], [2.573, -2.808, 1.225]], "species": ["Ru", "Hg", "Be"], "fractional_positions": [[0.500, 0.500, 0.500], [0.000, 0.000, 0.000], [0.750, 0.750, 0.750]], "formation_enthalpy_0k_ev_per_atom": 0.349, "e_above_lowest_polymorph_mev_per_atom": 127, "dos_at_fermi_per_ev_cell": 1.51}


(10)
{"formula": "Cs2TbCu2Cl6", "functional": "PBE", "state": "relaxed", "lattice_angstrom": [[-1.872, -5.875, 4.075], [6.308, 3.677, 1.497], [-7.484, 3.783, 2.015]], "species": ["Cs", "Cs", "Tb", "Cu", "Cu", "Cl", "Cl", "Cl", "Cl", "Cl", "Cl"], "fractional_positions": [[0.710, 0.420, 0.197], [0.290, 0.580, 0.803], [0.500, 0.000, 0.500], [0.959, 0.918, 0.836], [0.041, 0.082, 0.164], [0.740, 0.479, 0.629], [0.215, 0.923, 0.248], [0.292, 0.077, 0.752], [0.785, 0.077, 0.752], [0.708, 0.923, 0.248], [0.260, 0.521, 0.371]], "formation_energy_uncorrected_ev_per_atom": -1.459, "dos_at_fermi_per_ev_cell": 1.09}


(11)
{"formula": "AlP2S2", "functional": "PBE", "state": "relaxed", "lattice_angstrom": [[-3.522, 1.561, -2.334], [-2.726, -2.799, 2.242], [-0.705, 3.317, 3.283]], "species": ["P", "P", "S", "S", "Al"], "fractional_positions": [[0.500, 0.500, 0.500], [0.000, 0.000, 0.500], [0.000, 0.500, 0.000], [0.500, 0.000, 0.000], [0.000, 0.000, 0.000]], "e_above_lowest_polymorph_mev_per_atom": 127, "formation_energy_uncorrected_ev_per_atom": 0.647, "dos_at_fermi_per_ev_cell": 3.05}


(12)
{"formula": "TbYRh", "functional": "PBE", "state": "relaxed", "lattice_angstrom": [[-1.022, -0.560, -4.683], [-0.352, -4.431, -1.879], [-4.306, -1.716, -1.342]], "species": ["Y", "Rh", "Tb"], "fractional_positions": [[0.000, 0.000, 0.000], [0.250, 0.250, 0.250], [0.500, 0.500, 0.500]], "formation_enthalpy_0k_ev_per_atom": -0.563, "e_above_lowest_polymorph_mev_per_atom": 62, "dos_at_fermi_per_ev_cell": 3.13}